Compound: NbSb2PdI
Source: Alexandria via LeMat-Bulk
Functional: PBE-GGA
Structure: relaxed

The calculation puts the total energy at -4.17 eV/atom. The value obtained for the polymorph energy (0 for the lowest one) is 186 meV/atom. The calculation puts the formation energy from raw total energies at 0.8445 eV per atom. Its density is 6.57 g cm⁻³. As for the space-group type: P4/mmm (123).

Unit cell a=5.1564 b=5.1564 c=5.4138 alpha=90.00 beta=90.00 gamma=90.00
Last column: nearest neighbours and their distance in Å.
Sites, in units of the cell vectors:
I  0.0000  0.0000  0.5000  2 Pd 2.71
Sb  0.0000  0.5000  0.0000  2 Pd 2.58
Sb  0.5000  0.0000  0.0000  2 Pd 2.58
Nb  0.5000  0.5000  0.5000  4 I 3.65, 8 Sb 3.74
Pd  0.0000  0.0000  0.0000  4 Sb 2.58, 2 I 2.71

---

Compound: ScCrRh2
Source: Alexandria via LeMat-Bulk
Functional: PBE-GGA
Structure: relaxed

The calculation puts the total energy at -8.00 eV/atom. The formation energy comes out at -1.4 eV/f.u. Its density is 8.09 g cm⁻³. As for the space-group type: Cm (8).

Unit cell a=5.0146 b=5.0146 c=4.5395 alpha=73.76 beta=73.76 gamma=34.71
Last column: nearest neighbours and their distance in Å.
Sites, in units of the cell vectors:
Cr  0.2601  0.2601  0.1779  7 Rh 2.62-2.73
Rh  0.9948  0.9948  0.0739  3 Cr 2.62-2.72, 4 Sc 2.67-2.76
Rh  0.7492  0.7492  0.6868  3 Sc 2.65-2.71, 4 Cr 2.71-2.73, 2 Rh 2.96
Sc  0.4959  0.4959  0.5613  7 Rh 2.65-2.76

---

Compound: Ba2TlSbO6
Source: Alexandria via LeMat-Bulk
Functional: PBE-GGA
Structure: relaxed

The calculation puts the total energy at -5.87 eV/atom. The calculation puts the formation energy from raw total energies at -1.8620 eV per atom. Its density is 7.44 g cm⁻³. As for the space-group type: Fm-3m (225).

Unit cell a=6.0370 b=6.0370 c=6.0370 alpha=60.00 beta=60.00 gamma=60.00
Last column: nearest neighbours and their distance in Å.
Sites, in units of the cell vectors:
Sb  0.5000  0.5000  0.5000  6 O 2.01
Tl  0.0000  0.0000  0.0000  6 O 2.26
Ba  0.7500  0.7500  0.7500  12 O 3.02
Ba  0.2500  0.2500  0.2500  12 O 3.02
O  0.2641  0.7359  0.7359  1 Sb 2.01, 1 Tl 2.26
O  0.7359  0.2641  0.7359  1 Sb 2.01, 1 Tl 2.26
O  0.2641  0.7359  0.2641  1 Sb 2.01, 1 Tl 2.26
O  0.7359  0.7359  0.2641  1 Sb 2.01, 1 Tl 2.26
O  0.7359  0.2641  0.2641  1 Sb 2.01, 1 Tl 2.26
O  0.2641  0.2641  0.7359  1 Sb 2.01, 1 Tl 2.26

---

Compound: Ce2HoSb
Source: Alexandria via LeMat-Bulk
Functional: PBE-GGA
Structure: relaxed

The calculation puts the total energy at -5.66 eV/atom. The value obtained for the polymorph energy (0 for the lowest one) is 50 meV/atom. The calculation puts the formation energy from raw total energies at -0.5193 eV per atom. Its density is 8.89 g cm⁻³. As for the space-group type: P4/mmm (123).

Unit cell a=5.1081 b=4.5537 c=4.5537 alpha=90.00 beta=90.00 gamma=90.00
Last column: nearest neighbours and their distance in Å.
Sites, in units of the cell vectors:
Sb  0.5000  0.0000  0.0000  4 Ho 3.22, 8 Ce 3.42
Ho  0.5000  0.5000  0.5000  4 Sb 3.22, 8 Ce 3.42
Ce  0.0000  0.0000  0.5000  4 Ce 3.22, 4 Ho 3.42, 4 Sb 3.42
Ce  0.0000  0.5000  0.0000  4 Ce 3.22, 4 Ho 3.42, 4 Sb 3.42

---

Compound: Te6MoW3Se2
Source: Alexandria via LeMat-Bulk
Functional: PBE-GGA
Structure: relaxed

The calculation puts the total energy at -6.52 eV/atom. The value obtained for the polymorph energy (0 for the lowest one) is 0 meV/atom. The calculation puts the formation energy from raw total energies at -0.2302 eV per atom. Its density is 8.36 g cm⁻³. As for the space-group type: P3m1 (156).

Unit cell a=3.4930 b=3.4930 c=29.5264 alpha=90.00 beta=90.00 gamma=120.00
Last column: nearest neighbours and their distance in Å.
Sites, in units of the cell vectors:
Te  0.0000  0.0000  0.3087  3 W 2.73
Te  0.0000  0.0000  0.8176  3 W 2.73
Te  0.3333  0.6667  0.4388  3 Mo 2.73
Te  0.3333  0.6667  0.5630  3 Mo 2.73
Te  0.0000  0.0000  0.1838  3 W 2.73
Te  0.0000  0.0000  0.6927  3 W 2.73
Mo  0.0000  0.0000  0.5009  6 Te 2.73
W  0.0000  0.0000  0.0006  6 Se 2.59
W  0.3333  0.6667  0.2462  6 Te 2.73
W  0.3333  0.6667  0.7552  6 Te 2.73
Se  0.3333  0.6667  0.9456  3 W 2.59
Se  0.3333  0.6667  0.0556  3 W 2.59

---

Compound: RbLa2C6N6ClO6
Source: Alexandria via LeMat-Bulk
Functional: PBE-GGA
Structure: relaxed

The calculation puts the total energy at -8.00 eV/atom. The calculation puts the formation energy from raw total energies at -1.2830 eV per atom. Its density is 3.61 g cm⁻³. As for the space-group type: P6_3/m (176).

Unit cell a=6.8391 b=6.8391 c=14.7955 alpha=90.00 beta=90.00 gamma=120.00
Last column: nearest neighbours and their distance in Å.
Sites, in units of the cell vectors:
Rb  0.6667  0.3333  0.2500  6 O 3.02
Rb  0.3333  0.6667  0.7500  6 O 3.02
La  0.3333  0.6667  0.0523  6 O 2.63-2.64, 3 N 2.76, 1 Cl 2.93
La  0.6667  0.3333  0.5523  6 O 2.63-2.64, 3 N 2.76, 1 Cl 2.93
La  0.6667  0.3333  0.9477  6 O 2.63-2.64, 3 N 2.76, 1 Cl 2.93
La  0.3333  0.6667  0.4477  6 O 2.63-2.64, 3 N 2.76, 1 Cl 2.93
C  0.9546  0.1671  0.0958  1 O 1.30, 2 N 1.35-1.36
C  0.8329  0.7875  0.0958  1 O 1.30, 2 N 1.35-1.36
C  0.2125  0.0454  0.0958  1 O 1.30, 2 N 1.35-1.36
C  0.0454  0.8329  0.5958  1 O 1.30, 2 N 1.35-1.36
C  0.1671  0.2125  0.5958  1 O 1.30, 2 N 1.35-1.36
C  0.7875  0.9546  0.5958  1 O 1.30, 2 N 1.35-1.36
C  0.0454  0.8329  0.9042  1 O 1.30, 2 N 1.35-1.36
C  0.1671  0.2125  0.9042  1 O 1.30, 2 N 1.35-1.36
C  0.7875  0.9546  0.9042  1 O 1.30, 2 N 1.35-1.36
C  0.9546  0.1671  0.4042  1 O 1.30, 2 N 1.35-1.36
C  0.8329  0.7875  0.4042  1 O 1.30, 2 N 1.35-1.36
C  0.2125  0.0454  0.4042  1 O 1.30, 2 N 1.35-1.36
N  0.1747  0.2210  0.0992  2 C 1.35-1.36
N  0.7790  0.9537  0.0992  2 C 1.35-1.36
N  0.0463  0.8253  0.0992  2 C 1.35-1.36
N  0.8253  0.7790  0.5992  2 C 1.35-1.36
N  0.2210  0.0463  0.5992  2 C 1.35-1.36
N  0.9537  0.1747  0.5992  2 C 1.35-1.36
N  0.8253  0.7790  0.9008  2 C 1.35-1.36
N  0.2210  0.0463  0.9008  2 C 1.35-1.36
N  0.9537  0.1747  0.9008  2 C 1.35-1.36
N  0.1747  0.2210  0.4008  2 C 1.35-1.36
N  0.7790  0.9537  0.4008  2 C 1.35-1.36
N  0.0463  0.8253  0.4008  2 C 1.35-1.36
Cl  0.3333  0.6667  0.2500  2 La 2.93
Cl  0.6667  0.3333  0.7500  2 La 2.93
O  0.9203  0.3358  0.0826  1 C 1.30
O  0.6642  0.5845  0.0826  1 C 1.30
O  0.4155  0.0797  0.0826  1 C 1.30
O  0.0797  0.6642  0.5826  1 C 1.30
O  0.3358  0.4155  0.5826  1 C 1.30
O  0.5845  0.9203  0.5826  1 C 1.30
O  0.0797  0.6642  0.9174  1 C 1.30
O  0.3358  0.4155  0.9174  1 C 1.30
O  0.5845  0.9203  0.9174  1 C 1.30
O  0.9203  0.3358  0.4174  1 C 1.30
O  0.6642  0.5845  0.4174  1 C 1.30
O  0.4155  0.0797  0.4174  1 C 1.30

---

no.,total magnetization (μB per formula unit)
1,2.422
2,2.881
3,0.000
4,0.918
5,0.000
6,0.000